Density functional theory data (PBE) for a geometry-optimized KRe3O12 structure.

The structure in POSCAR format:
```
KRe3O12
1.0
4.4380 2.5623 11.4533
-4.4380 2.5623 11.4533
0.0000 -5.1246 11.4533
K Re O
2 6 24
direct
0.0000 0.0000 0.0000 K
0.5000 0.5000 0.5000 K
0.0858 0.7451 0.3857 Re
0.2451 0.5858 0.8857 Re
0.3857 0.0858 0.7451 Re
0.5858 0.8857 0.2451 Re
0.7451 0.3857 0.0858 Re
0.8857 0.2451 0.5858 Re
0.1067 0.1359 0.4561 O
0.1359 0.4561 0.1067 O
0.1639 0.6727 0.2525 O
0.1727 0.6639 0.7525 O
0.1936 0.7636 0.8800 O
0.2525 0.1639 0.6727 O
0.2636 0.6936 0.3800 O
0.3106 0.9490 0.9770 O
0.3800 0.2636 0.6936 O
0.4490 0.8106 0.4770 O
0.4561 0.1067 0.1359 O
0.4770 0.4490 0.8106 O
0.6067 0.9561 0.6359 O
0.6359 0.6067 0.9561 O
0.6639 0.7525 0.1727 O
0.6727 0.2525 0.1639 O
0.6936 0.3800 0.2636 O
0.7525 0.1727 0.6639 O
0.7636 0.8800 0.1936 O
0.8106 0.4770 0.4490 O
0.8800 0.1936 0.7636 O
0.9490 0.9770 0.3106 O
0.9561 0.6359 0.6067 O
0.9770 0.3106 0.9490 O
```

Summary:
As for the raw total energy: -7.48 eV per atom. The calculation puts the total magnetization at 0.133 μB/atom. Its density of states at the Fermi level is 33.53 states/eV/cell. The value obtained for the formation energy without anion corrections is -1356 meV per atom. The space group is R3c.

---

Density functional theory data (PBE) for a geometry-optimized Pm6Pr2DyEr structure.

The structure in POSCAR format:
```
Pm6Pr2DyEr
1.0
4.5967 -7.6742 0.0000
4.5967 7.6742 0.0000
-1.4974 0.0000 9.7465
Pm Pr Dy Er
12 4 2 2
direct
0.0174 0.5756 0.1899 Pm
0.1240 0.7502 0.5558 Pm
0.2498 0.8760 0.9442 Pm
0.2920 0.5008 0.3806 Pm
0.4244 0.9826 0.3101 Pm
0.4992 0.7080 0.1194 Pm
0.5008 0.2920 0.8806 Pm
0.5756 0.0174 0.6899 Pm
0.7080 0.4992 0.6194 Pm
0.7502 0.1240 0.0558 Pm
0.8760 0.2498 0.4442 Pm
0.9826 0.4244 0.8101 Pm
0.1946 0.2966 0.0418 Pr
0.2966 0.1946 0.5418 Pr
0.7034 0.8054 0.4582 Pr
0.8054 0.7034 0.9582 Pr
0.0184 0.9816 0.2500 Dy
0.9816 0.0184 0.7500 Dy
0.4077 0.5923 0.7500 Er
0.5923 0.4077 0.2500 Er
```

Summary:
As for the raw total energy: -4.61 eV per atom. The calculation puts the total magnetization at 0.000 μB/atom. Its density of states at the Fermi level is 28.96 states/eV/cell. The energy relative to the elements comes out at 0.115 eV per atom. The space group is C2/c.

---

Density functional theory data (PBE) for a geometry-optimized Ni2Sn3 structure.

The structure in POSCAR format:
```
Ni2Sn3
1.0
3.2214 1.8598 5.5913
-3.2214 1.8598 5.5913
0.0000 -3.7197 5.5913
Ni Sn
4 6
direct
0.1722 0.1722 0.1722 Ni
0.3278 0.3278 0.3278 Ni
0.6722 0.6722 0.6722 Ni
0.8278 0.8278 0.8278 Ni
0.1013 0.7500 0.3987 Sn
0.2500 0.6013 0.8987 Sn
0.3987 0.1013 0.7500 Sn
0.6013 0.8987 0.2500 Sn
0.7500 0.3987 0.1013 Sn
0.8987 0.2500 0.6013 Sn
```

Summary:
As for the raw total energy: -4.89 eV per atom. The calculation puts the total magnetization at 0.000 μB/atom. Its density of states at the Fermi level is 5.73 states/eV/cell. The energy relative to the elements comes out at -0.174 eV per atom. The space group is R-3c.

---

Density functional theory data (PBE) for a geometry-optimized SbAsOsI2 structure.

The structure in POSCAR format:
```
SbAsOsI2
1.0
5.3832 0.0000 0.0000
0.0000 5.3832 0.0000
0.0000 0.0000 5.0894
Sb As Os I
1 1 1 2
direct
0.0000 0.0000 0.0000 Sb
0.5000 0.5000 0.0000 As
0.0000 0.0000 0.5000 Os
0.0000 0.5000 0.5000 I
0.5000 0.0000 0.5000 I
```

Summary:
As for the raw total energy: -3.66 eV per atom. The calculation puts the total magnetization at 0.000 μB/atom. Its density of states at the Fermi level is 5.80 states/eV/cell. The value obtained for the formation energy without anion corrections is 961 meV per atom. The space group is P4/mmm.

---

Density functional theory data (PBE) for a geometry-optimized TiMnCr2Se6 structure.

The structure in POSCAR format:
```
TiMnCr2Se6
1.0
3.2166 1.8571 5.8127
-3.2166 1.8571 5.8127
0.0000 -3.7142 5.8127
Ti Mn Cr Se
1 1 2 6
direct
0.0000 0.0000 0.0000 Ti
0.5019 0.5019 0.5019 Mn
0.3171 0.3171 0.3171 Cr
0.8174 0.8174 0.8174 Cr
0.0893 0.4097 0.7263 Se
0.2221 0.9139 0.5898 Se
0.4097 0.7263 0.0893 Se
0.5898 0.2221 0.9139 Se
0.7263 0.0893 0.4097 Se
0.9139 0.5898 0.2221 Se
```

Summary:
As for the raw total energy: -6.35 eV per atom. The calculation puts the total magnetization at 1.105 μB/atom. Its density of states at the Fermi level is 3.27 states/eV/cell. The value obtained for the formation energy without anion corrections is -628 meV per atom. The space group is R3.

---

Density functional theory data (PBE) for a geometry-optimized Cd2PtAu structure.

The structure in POSCAR format:
```
Cd2PtAu
1.0
-3.7760 3.7760 2.8415
3.7760 -3.7760 2.8415
3.7760 3.7760 -2.8415
Cd Pt Au
4 2 2
direct
0.1175 0.6250 0.9925 Cd
0.3750 0.3675 0.4925 Cd
0.6325 0.1250 0.0075 Cd
0.8750 0.8825 0.5075 Cd
0.0000 0.0000 0.0000 Pt
0.7500 0.2500 0.5000 Pt
0.2500 0.7500 0.5000 Au
0.5000 0.5000 0.0000 Au
```

Summary:
As for the raw total energy: -2.81 eV per atom. The calculation puts the total magnetization at 0.000 μB/atom. Its density of states at the Fermi level is 2.70 states/eV/cell. The energy relative to the elements comes out at -0.022 eV per atom. The space group is I-42d.